(1)
First-principles (PBE-GGA) data for BaTlSi2Pb after structural relaxation, as listed in the Alexandria database.

a b c (Å): 5.4884 5.4884 5.8158
angles (deg): 90.00 90.00 90.00
Space group P4/mmm (No. 123)
Unique sites:
Ba (0.0000, 0.0000, 0.0000) x1
Tl (0.5000, 0.5000, 0.0000) x1
Si (0.0000, 0.5000, 0.5000) x2
Pb (0.5000, 0.5000, 0.5000) x1

Values from the calculation:
The total energy comes out at -3.2273 eV/atom. For the energy relative to the elements, uncorrected, the calculation gives 0.541 eV per atom.

(2)
First-principles (PBE-GGA) data for CePrNCl after structural relaxation, as listed in the Alexandria database.

a b c (Å): 3.6414 3.6414 21.8323
angles (deg): 90.00 90.00 120.00
Space group R3m (No. 160, hexagonal axes)
Unique sites:
Ce (0.0000, 0.0000, 0.0000) x3
Pr (0.0000, 0.0000, 0.2066) x3
N (0.0000, 0.0000, 0.6088) x3
Cl (0.0000, 0.0000, 0.4380) x3

Values from the calculation:
The total energy comes out at -6.7291 eV/atom. For the energy relative to the elements, uncorrected, the calculation gives -1.508 eV per atom.

(3)
First-principles (PBE-GGA) data for CuRe2Si after structural relaxation, as listed in the Alexandria database.

a b c (Å): 2.7735 4.1718 10.1160
angles (deg): 90.00 90.00 90.00
Space group Immm (No. 71)
Unique sites:
Cu (0.0000, 0.0000, 0.0000) x2
Re (0.0000, 0.5000, 0.2034) x4
Si (0.0000, 0.0000, 0.5000) x2

Values from the calculation:
The total energy comes out at -8.4233 eV/atom. For the energy relative to the elements, uncorrected, the calculation gives 0.181 eV per atom.

(4)
First-principles (PBE-GGA) data for SrHg2Se2 after structural relaxation, as listed in the Alexandria database.

a b c (Å): 5.3794 5.3794 9.7005
angles (deg): 90.00 90.00 90.00
Space group I4/mmm (No. 139)
Unique sites:
Sr (0.0000, 0.0000, 0.0000) x2
Hg (0.0000, 0.0000, 0.3618) x4
Se (0.0000, 0.5000, 0.2500) x4

Values from the calculation:
The total energy comes out at -2.4699 eV/atom. For the energy relative to the elements, uncorrected, the calculation gives -0.619 eV per atom. The calculation puts the polymorph energy (0 for the lowest one) at 0.610 eV/f.u.

(5)
First-principles (PBE-GGA) data for CaY2In after structural relaxation, as listed in the Alexandria database.

a b c (Å): 7.8505 7.8505 7.8505
angles (deg): 90.00 90.00 90.00
Space group F-43m (No. 216)
Unique sites:
Ca (0.0000, 0.0000, 0.0000) x4
Y (0.0000, 0.0000, 0.5000) x4
Y (0.2500, 0.2500, 0.2500) x4
In (0.2500, 0.2500, 0.7500) x4

Values from the calculation:
The total energy comes out at -4.4893 eV/atom. As for the energy of formation: -0.072 eV per atom.

(6)
First-principles (PBE-GGA) data for SrTbTl after structural relaxation, as listed in the Alexandria database.

a b c (Å): 3.9085 3.9085 13.8163
angles (deg): 90.00 90.00 90.00
Space group I4mm (No. 107)
Unique sites:
Sr (0.0000, 0.0000, 0.0000) x2
Tb (0.0000, 0.0000, 0.2833) x2
Tl (0.0000, 0.0000, 0.6644) x2

Values from the calculation:
The total energy comes out at -3.0617 eV/atom. As for the energy of formation: -0.169 eV per atom.